[1]
Cd2AuO: relaxed, PBE.

The structure in CIF format:
```
data_Cd2AuO
_symmetry_space_group_name_H-M 'R -3 m'
_symmetry_Int_Tables_number 166
_symmetry_space_group_name_Hall '-R 3 2"'
_cell_length_a 3.3367
_cell_length_b 3.3367
_cell_length_c 21.5124
_cell_angle_alpha 90.00
_cell_angle_beta 90.00
_cell_angle_gamma 120.00
loop_
_atom_site_label
_atom_site_fract_x
_atom_site_fract_y
_atom_site_fract_z
_atom_site_occupancy
Cd1 0.0000 0.0000 0.2331 1
Au1 0.0000 0.0000 0.0000 1
O1 0.0000 0.0000 0.5000 1
```

Computed properties:
Uncorrected formation energy in meV/atom: -497

---

[2]
Be4HgCl: relaxed, PBE.

The structure in CIF format:
```
data_Be4HgCl
_symmetry_space_group_name_H-M 'F -4 3 m'
_symmetry_Int_Tables_number 216
_symmetry_space_group_name_Hall 'F -4 2 3'
_cell_length_a 6.797
_cell_length_b 6.797
_cell_length_c 6.797
_cell_angle_alpha 90.00
_cell_angle_beta 90.00
_cell_angle_gamma 90.00
loop_
_atom_site_label
_atom_site_fract_x
_atom_site_fract_y
_atom_site_fract_z
_atom_site_occupancy
Be1 0.122 0.122 0.378 1
Hg1 0.250 0.250 0.750 1
Cl1 0.000 0.000 0.000 1
```

Computed properties:
Uncorrected formation energy in meV/atom: 590

---

[3]
LaNiBi3: relaxed, PBE.

The structure in CIF format:
```
data_LaNiBi3
_symmetry_space_group_name_H-M 'P m -3 m'
_symmetry_Int_Tables_number 221
_symmetry_space_group_name_Hall '-P 4 2 3'
_cell_length_a 5.248
_cell_length_b 5.248
_cell_length_c 5.248
_cell_angle_alpha 90.00
_cell_angle_beta 90.00
_cell_angle_gamma 90.00
loop_
_atom_site_label
_atom_site_fract_x
_atom_site_fract_y
_atom_site_fract_z
_atom_site_occupancy
La1 0.000 0.000 0.000 1
Ni1 0.500 0.500 0.500 1
Bi1 0.000 0.500 0.500 1
```

Computed properties:
ΔE_f in meV/atom: -207